First-principles (PBE) data for crystalline Pr2BiSe at its relaxed geometry, as listed in Alexandria via LeMat-Bulk.

Computed properties:
Final energy: -5.614 eV per atom
Calculated volume: 31.34 A^3/atom
Excess energy over the best structure of this formula in the dataset: 0 meV per atom

abc: 4.4575 4.4575 7.7235
angles: 90.04 106.74 119.98
Last column: nearest neighbours and their distance in Å.
Positions (direct):
Pr 0.5127 0.7561 0.2688  3 Se 3.08, 3 Bi 3.23-3.24
Pr 0.4872 0.2439 0.7312  3 Se 3.07-3.08, 3 Bi 3.23-3.24
Bi 0.0000 0.0000 0.0000  6 Pr 3.23-3.24
Se 0.0000 0.5000 0.5000  6 Pr 3.07-3.08